## Mn3Cr2O8 (PBE with a Hubbard U)

Data for a relaxed Mn3Cr2O8 crystal.

The calculation puts the electronic total energy at -7.42 eV/atom.

The space group is R-3m (No. 166, hexagonal axes) and the conventional cell measures 6.0670, 6.0670 and 14.3177 Å, with angles of 90.00, 90.00 and 120.00 degrees. The distinct sites, in fractional coordinates, are Mn at (0.0000, 0.5000, 0.0000), Cr at (0.0000, 0.0000, 0.1189), O at (0.0000, 0.0000, 0.2464) and O at (0.0062, 0.5031, 0.7420).